1.
VASP calculation (PBE-GGA) on a relaxed structure of Tm5ScIn2. Values from VASP.

Properties
Formation energy: -0.2149 eV/atom
Theoretical density: 8.5 g/cm³

```
&SYSTEM
  ibrav = 0, nat = 8, ntyp = 3
/
ATOMIC_SPECIES
Tm 168.93 Tm.upf
Sc 44.96 Sc.upf
In 114.82 In.upf
ATOMIC_POSITIONS crystal
Tm 0.000 0.000 0.000
Tm 0.131 0.131 0.131
Tm 0.261 0.261 0.261
Tm 0.739 0.739 0.739
Tm 0.869 0.869 0.869
Sc 0.500 0.500 0.500
In 0.385 0.385 0.385
In 0.615 0.615 0.615
CELL_PARAMETERS angstrom
2.647 1.528 8.991
-2.647 1.528 8.991
0.000 -3.057 8.991
```

***

2.
VASP calculation (PBE-GGA) on a relaxed structure of Tm6Sc3In. Values from VASP.

Properties
Formation energy: -0.0017 eV/atom
Theoretical density: 7.6 g/cm³

```
&SYSTEM
  ibrav = 0, nat = 20, ntyp = 3
/
ATOMIC_SPECIES
Tm 168.93 Tm.upf
Sc 44.96 Sc.upf
In 114.82 In.upf
ATOMIC_POSITIONS crystal
Tm 0.008 0.250 0.312
Tm 0.156 0.250 0.884
Tm 0.245 0.750 0.306
Tm 0.276 0.750 0.715
Tm 0.310 0.750 0.077
Tm 0.380 0.250 0.527
Tm 0.620 0.750 0.473
Tm 0.690 0.250 0.923
Tm 0.724 0.250 0.285
Tm 0.755 0.250 0.694
Tm 0.844 0.750 0.116
Tm 0.992 0.750 0.688
Sc 0.077 0.250 0.096
Sc 0.127 0.750 0.503
Sc 0.426 0.250 0.901
Sc 0.574 0.750 0.099
Sc 0.873 0.250 0.497
Sc 0.923 0.750 0.904
In 0.467 0.250 0.278
In 0.533 0.750 0.722
CELL_PARAMETERS angstrom
12.314 0.000 0.000
0.000 3.361 0.000
-2.370 0.000 13.382
```